No. 1
80
Lattice="16.327 0.000 0.000 -5.442 15.394 0.000 -5.442 -7.697 13.331" Properties=species:S:1:pos:R:3 comment="K12As3Cl5 (PBE, relaxed)" e_form_raw_kj_per_mol_fu=-2023 volume_a3_per_atom=41.884 pbc="T T T"
As 9.524 4.811 1.666
As 9.524 10.583 1.666
As -1.361 6.735 8.332
As 1.361 -0.962 4.999
As 12.246 0.000 3.333
As 1.361 7.697 3.333
As 4.082 0.000 9.998
As -6.803 7.697 9.998
As 4.082 8.659 8.332
As 6.803 0.962 4.999
As -4.082 -2.886 11.665
As -4.082 2.886 11.665
Cl -1.361 3.848 3.333
Cl -2.721 7.697 0.000
Cl 0.000 0.000 0.000
Cl 4.082 2.886 1.666
Cl 5.442 -3.848 6.666
Cl 5.442 7.697 0.000
Cl -4.082 8.659 4.999
Cl 6.803 -4.811 11.665
Cl 6.803 6.735 4.999
Cl 1.361 -3.848 9.998
Cl 4.082 11.545 3.333
Cl 2.721 3.848 6.666
Cl 8.164 0.000 0.000
Cl -2.721 -3.848 6.666
Cl -1.361 0.962 8.332
Cl -1.361 12.507 1.666
Cl -5.442 3.848 6.666
Cl 9.524 -0.962 8.332
Cl 1.361 4.811 11.665
Cl 6.803 3.848 9.998
K 10.773 1.722 0.662
K 0.112 5.283 5.505
K 12.026 3.452 3.707
K 7.023 2.364 1.823
K 1.967 5.939 8.962
K 11.384 7.711 2.297
K -1.141 8.785 5.530
K -4.301 13.030 1.823
K 0.754 9.455 8.962
K 7.665 7.682 2.297
K 8.276 4.136 4.843
K 8.276 13.671 0.662
K -4.688 6.882 7.328
K 3.220 5.701 1.136
K -5.555 11.257 4.843
K 2.833 -2.414 7.826
K -0.754 0.944 2.959
K 3.220 9.679 1.161
K 7.023 11.942 3.707
K -0.499 5.715 1.161
K -3.476 8.641 10.373
K 3.862 6.609 5.530
K 7.409 8.511 7.328
K 5.942 -1.996 12.196
K 1.580 1.088 7.801
K -1.967 -0.814 6.004
K -0.499 9.693 1.136
K -1.580 -4.245 9.624
K 8.918 -0.944 2.959
K 5.942 1.982 12.171
K 2.222 -1.982 12.171
K 2.609 10.111 5.505
K 6.197 6.753 10.373
K 10.997 -3.561 8.488
K 10.131 0.814 6.004
K -2.833 -5.974 12.669
K 2.222 1.996 12.196
K 4.688 -1.758 4.369
K -2.222 0.014 11.035
K -2.833 3.561 8.488
K 9.744 -5.333 11.509
K 6.584 -1.088 7.801
K -1.580 5.333 11.509
K -5.942 -0.014 11.035
K 3.476 1.758 4.369
K -6.584 4.245 9.624
K 5.330 2.414 7.826
K -5.330 5.974 12.669



No. 2
18
Lattice="10.634 0.456 0.442 3.425 8.188 -0.394 3.425 -0.129 8.197" Properties=species:S:1:pos:R:3 comment="KAs2Cl6 (PBE, relaxed)" e_form_raw_kj_per_mol_fu=-732 volume_a3_per_atom=38.178 pbc="T T T"
K 6.083 0.581 7.692
K 11.400 7.935 0.552
As 7.343 4.875 5.444
As 4.823 2.689 3.327
As 10.140 3.640 2.800
As 12.660 5.827 4.917
Cl 9.902 5.448 4.925
Cl 12.899 3.645 3.179
Cl 7.582 3.068 3.319
Cl 4.585 4.871 5.065
Cl 13.114 7.252 3.268
Cl 9.687 5.243 1.322
Cl 4.370 1.263 4.976
Cl 7.796 3.273 6.922
Cl 7.134 6.562 7.041
Cl 5.032 1.038 1.693
Cl 10.349 1.953 1.203
Cl 12.451 7.478 6.552